Computed, not measured: a geometry-optimized CePaGaAg structure at the PBE-GGA level of DFT.

Unit cell a=7.288 b=7.288 c=7.288 alpha=90.00 beta=90.00 gamma=90.00
Space group F-43m (No. 216)
Unique sites:
Ce: 0.000 0.000 0.000 [4 per cell]
Pa: 0.000 0.000 0.500 [4 per cell]
Ga: 0.250 0.250 0.250 [4 per cell]
Ag: 0.250 0.250 0.750 [4 per cell]

## Properties
formation enthalpy at 0 K: 0.0118 eV per atom
DOS(E_F): 46.397 states/eV/cell

---

Computed, not measured: a geometry-optimized B5C7 structure at the PBE-GGA level of DFT.

Unit cell a=3.585 b=4.514 c=5.300 alpha=100.59 beta=90.68 gamma=112.75
Space group P1 (No. 1)
Unique sites:
B: 0.000 0.000 0.000 [1 per cell]
B: 0.010 0.102 0.553 [1 per cell]
B: 0.312 0.162 0.273 [1 per cell]
B: 0.372 0.774 0.191 [1 per cell]
B: 0.890 0.366 0.122 [1 per cell]
C: 0.286 0.062 0.766 [1 per cell]
C: 0.353 0.741 0.692 [1 per cell]
C: 0.570 0.692 0.925 [1 per cell]
C: 0.606 0.771 0.451 [1 per cell]
C: 0.673 0.383 0.852 [1 per cell]
C: 0.719 0.474 0.392 [1 per cell]
C: 0.941 0.435 0.620 [1 per cell]

## Properties
formation enthalpy at 0 K: 0.3751 eV per atom
energy above the lowest structure with this stoichiometry: 117 meV/atom
DOS(E_F): 1.837 states/eV/cell

---

Computed, not measured: a geometry-optimized NdSiIr2 structure at the PBE-GGA level of DFT.

Unit cell a=4.045 b=4.045 c=9.490 alpha=90.00 beta=90.00 gamma=90.00
Space group P4/nmm (No. 129, origin choice 2)
Unique sites:
Nd: 0.250 0.250 0.206 [2 per cell]
Si: 0.250 0.250 0.638 [2 per cell]
Ir: 0.250 0.250 0.881 [2 per cell]
Ir: 0.250 0.750 0.500 [2 per cell]

## Properties
final energy: -7.71 eV per atom
DOS(E_F): 5.207 states/eV/cell

---

Computed, not measured: a geometry-optimized MnNbCrFe structure at the PBE-GGA level of DFT.

Unit cell a=5.971 b=5.971 c=5.971 alpha=90.00 beta=90.00 gamma=90.00
Space group F-43m (No. 216)
Unique sites:
Mn: 0.000 0.000 0.000 [4 per cell]
Nb: 0.000 0.000 0.500 [4 per cell]
Cr: 0.250 0.250 0.750 [4 per cell]
Fe: 0.250 0.250 0.250 [4 per cell]

## Properties
formation enthalpy at 0 K: 0.0309 eV per atom
DOS(E_F): 6.176 states/eV/cell

---

Computed, not measured: a geometry-optimized Er2TiGe3Pt4 structure at the PBE-GGA level of DFT.

Unit cell a=4.078 b=4.078 c=11.145 alpha=90.00 beta=90.00 gamma=90.00
Space group P-4m2 (No. 115)
Unique sites:
Er: 0.000 0.500 0.233 [2 per cell]
Ti: 0.000 0.000 0.500 [1 per cell]
Ge: 0.000 0.500 0.859 [2 per cell]
Ge: 0.500 0.500 0.500 [1 per cell]
Pt: 0.000 0.000 0.000 [1 per cell]
Pt: 0.000 0.500 0.642 [2 per cell]
Pt: 0.500 0.500 0.000 [1 per cell]

## Properties
formation enthalpy at 0 K: -0.9234 eV per atom
DOS(E_F): 8.601 states/eV/cell

---

Computed, not measured: a geometry-optimized FePt2Cl structure at the PBE-GGA level of DFT.

Unit cell a=2.834 b=2.834 c=7.947 alpha=90.00 beta=90.00 gamma=90.00
Space group P4/mmm (No. 123)
Unique sites:
Fe: 0.000 0.000 0.000 [1 per cell]
Pt: 0.500 0.500 0.218 [2 per cell]
Cl: 0.000 0.000 0.500 [1 per cell]

## Properties
energy above the lowest structure with this stoichiometry: 126 meV/atom
DOS(E_F): 3.422 states/eV/cell

---

Computed, not measured: a geometry-optimized LaYZnCd structure at the PBE-GGA level of DFT.

Unit cell a=7.543 b=7.543 c=7.543 alpha=90.00 beta=90.00 gamma=90.00
Space group F-43m (No. 216)
Unique sites:
La: 0.000 0.000 0.000 [4 per cell]
Y: 0.000 0.000 0.500 [4 per cell]
Zn: 0.250 0.250 0.250 [4 per cell]
Cd: 0.250 0.250 0.750 [4 per cell]

## Properties
formation enthalpy at 0 K: -0.3042 eV per atom
energy above the lowest structure with this stoichiometry: 31 meV/atom
DOS(E_F): 19.944 states/eV/cell

---

Computed, not measured: a geometry-optimized Ac8NiRu3I4 structure at the PBE-GGA level of DFT.

Unit cell a=15.048 b=8.681 c=10.026 alpha=90.00 beta=120.10 gamma=90.00
Space group C2/m (No. 12)
Unique sites:
Ac: 0.023 0.246 0.316 [8 per cell]
Ac: 0.229 0.000 0.685 [4 per cell]
Ac: 0.230 0.500 0.683 [4 per cell]
Ni: 0.000 0.500 0.500 [2 per cell]
Ru: 0.000 0.000 0.500 [2 per cell]
Ru: 0.250 0.250 0.500 [4 per cell]
I: 0.000 0.000 0.000 [2 per cell]
I: 0.000 0.500 0.000 [2 per cell]
I: 0.250 0.250 0.000 [4 per cell]

## Properties
final energy: -5.27 eV per atom
DOS(E_F): 16.004 states/eV/cell

---

Computed, not measured: a geometry-optimized HoGaNiPd structure at the PBE-GGA level of DFT.

Unit cell a=6.461 b=6.461 c=6.461 alpha=90.00 beta=90.00 gamma=90.00
Space group F-43m (No. 216)
Unique sites:
Ho: 0.000 0.000 0.000 [4 per cell]
Ga: 0.000 0.000 0.500 [4 per cell]
Ni: 0.250 0.250 0.250 [4 per cell]
Pd: 0.250 0.250 0.750 [4 per cell]

## Properties
formation enthalpy at 0 K: -0.6003 eV per atom
DOS(E_F): 12.611 states/eV/cell

---

Computed, not measured: a geometry-optimized TlSbPb2 structure at the PBE-GGA level of DFT.

Unit cell a=4.073 b=4.073 c=7.555 alpha=90.00 beta=90.00 gamma=90.00
Space group P4/mmm (No. 123)
Unique sites:
Tl: 0.000 0.000 0.000 [1 per cell]
Sb: 0.000 0.000 0.500 [1 per cell]
Pb: 0.500 0.500 0.279 [2 per cell]

## Properties
energy above the lowest structure with this stoichiometry: 7 meV/atom
DOS(E_F): 2.199 states/eV/cell

---

Computed, not measured: a geometry-optimized VHgAsH2 structure at the PBE-GGA level of DFT.

Unit cell a=3.833 b=3.833 c=5.580 alpha=90.00 beta=90.00 gamma=90.00
Space group P4/mmm (No. 123)
Unique sites:
V: 0.000 0.000 0.000 [1 per cell]
Hg: 0.500 0.500 0.000 [1 per cell]
As: 0.500 0.500 0.500 [1 per cell]
H: 0.000 0.500 0.500 [2 per cell]

## Properties
final energy: -3.31 eV per atom
DOS(E_F): 7.087 states/eV/cell

---

Computed, not measured: a geometry-optimized K7Rb12As structure at the PBE-GGA level of DFT.

Unit cell a=25.4695 b=25.4695 c=8.5160 alpha=90.00 beta=90.00 gamma=120.00
Space group R-3m (No. 166, hexagonal axes)
Unique sites:
K: 0.0000 0.0000 0.0000 [3 per cell]
K: 0.0677 0.1353 0.3367 [18 per cell]
Rb: 0.0000 0.4111 0.0000 [18 per cell]
Rb: 0.1025 0.5512 0.5159 [18 per cell]
As: 0.0000 0.0000 0.5000 [3 per cell]

## Properties
formation enthalpy at 0 K: -0.0239 eV per atom
DOS(E_F): 38.388 states/eV/cell

---

Computed, not measured: a geometry-optimized Ce3Hg2Pb2 structure at the PBE-GGA level of DFT.

Unit cell a=4.799 b=5.718 c=9.027 alpha=93.43 beta=105.20 gamma=114.74
Space group P-1 (No. 2)
Unique sites:
Ce: 0.000 0.000 0.000 [1 per cell]
Ce: 0.432 0.145 0.715 [2 per cell]
Hg: 0.315 0.269 0.369 [2 per cell]
Pb: 0.217 0.573 0.860 [2 per cell]

## Properties
formation enthalpy at 0 K: -0.2884 eV per atom
DOS(E_F): 19.770 states/eV/cell

---

Computed, not measured: a geometry-optimized HfBe2IBr structure at the PBE-GGA level of DFT.

Unit cell a=4.288 b=4.288 c=6.411 alpha=90.00 beta=90.00 gamma=90.00
Space group P4/mmm (No. 123)
Unique sites:
Hf: 0.000 0.000 0.000 [1 per cell]
Be: 0.000 0.500 0.500 [2 per cell]
I: 0.500 0.500 0.000 [1 per cell]
Br: 0.500 0.500 0.500 [1 per cell]

## Properties
final energy: -2.82 eV per atom
DOS(E_F): 4.629 states/eV/cell

---

Computed, not measured: a geometry-optimized NbInP3 structure at the PBE-GGA level of DFT.

Unit cell a=4.875 b=4.875 c=4.875 alpha=90.00 beta=90.00 gamma=90.00
Space group Pm-3m (No. 221)
Unique sites:
Nb: 0.000 0.000 0.000 [1 per cell]
In: 0.500 0.500 0.500 [1 per cell]
P: 0.000 0.000 0.500 [3 per cell]

## Properties
formation enthalpy at 0 K: 0.2479 eV per atom
energy above the lowest structure with this stoichiometry: 0 meV/atom
DOS(E_F): 4.170 states/eV/cell

---

Computed, not measured: a geometry-optimized B2TeC2 structure at the PBE-GGA level of DFT.

Unit cell a=2.928 b=2.928 c=12.651 alpha=90.00 beta=90.00 gamma=90.00
Space group I4/mmm (No. 139)
Unique sites:
B: 0.000 0.500 0.250 [4 per cell]
Te: 0.000 0.000 0.000 [2 per cell]
C: 0.000 0.000 0.183 [4 per cell]

## Properties
energy above the lowest structure with this stoichiometry: 0 meV/atom
DOS(E_F): 2.698 states/eV/cell

---

Computed, not measured: a geometry-optimized ScGe3N structure at the PBE-GGA level of DFT.

Unit cell a=4.369 b=4.369 c=4.369 alpha=90.00 beta=90.00 gamma=90.00
Space group Pm-3m (No. 221)
Unique sites:
Sc: 0.000 0.000 0.000 [1 per cell]
Ge: 0.000 0.500 0.500 [3 per cell]
N: 0.500 0.500 0.500 [1 per cell]

## Properties
energy above the lowest structure with this stoichiometry: 0 meV/atom
DOS(E_F): 3.152 states/eV/cell